# 1
# TbPuTh2N4 (GGA-PBE, optimized geometry)
# Total energy ... -9.8851 eV per atom
# Size of the total moment ... 5.3 μB/f.u.
data_TbPuTh2N4
_space_group_name_H-M_alt 'P 1 2/m 1'
_space_group_IT_number 10
_cell_length_a 6.189
_cell_length_b 3.601
_cell_length_c 6.223
_cell_angle_alpha 90.00
_cell_angle_beta 109.72
_cell_angle_gamma 90.00
loop_
_space_group_symop_operation_xyz
'x,y,z'
'-x,-y,-z'
'-x,y,-z'
'x,-y,z'
loop_
_atom_site_label
_atom_site_type_symbol
_atom_site_fract_x
_atom_site_fract_y
_atom_site_fract_z
Tb1 Tb 0.000 0.000 0.000
Pu1 Pu 0.000 0.500 0.500
Th1 Th 0.500 0.000 0.500
Th2 Th 0.500 0.500 0.000
N1 N 0.243 0.000 0.746
N2 N 0.248 0.500 0.248

***

# 2
# Tb2PuThN4 (GGA-PBE, optimized geometry)
# Total energy ... -9.5652 eV per atom
# Size of the total moment ... 4.9 μB/f.u.
data_Tb2PuThN4
_space_group_name_H-M_alt 'P 1 2/m 1'
_space_group_IT_number 10
_cell_length_a 6.127
_cell_length_b 3.549
_cell_length_c 6.141
_cell_angle_alpha 90.00
_cell_angle_beta 109.68
_cell_angle_gamma 90.00
loop_
_space_group_symop_operation_xyz
'x,y,z'
'-x,-y,-z'
'-x,y,-z'
'x,-y,z'
loop_
_atom_site_label
_atom_site_type_symbol
_atom_site_fract_x
_atom_site_fract_y
_atom_site_fract_z
Tb1 Tb 0.000 0.000 0.000
Tb2 Tb 0.500 0.500 0.000
Pu1 Pu 0.000 0.500 0.500
Th1 Th 0.500 0.000 0.500
N1 N 0.242 0.000 0.745
N2 N 0.249 0.500 0.249

***

# 3
# Tb2TmPuN4 (GGA-PBE, optimized geometry)
# Total energy ... -9.2600 eV per atom
# Size of the total moment ... 4.7 μB/f.u.
data_Tb2TmPuN4
_space_group_name_H-M_alt 'P 1 2/m 1'
_space_group_IT_number 10
_cell_length_a 5.986
_cell_length_b 3.473
_cell_length_c 5.990
_cell_angle_alpha 90.00
_cell_angle_beta 109.35
_cell_angle_gamma 90.00
loop_
_space_group_symop_operation_xyz
'x,y,z'
'-x,-y,-z'
'-x,y,-z'
'x,-y,z'
loop_
_atom_site_label
_atom_site_type_symbol
_atom_site_fract_x
_atom_site_fract_y
_atom_site_fract_z
Tb1 Tb 0.000 0.000 0.000
Tb2 Tb 0.500 0.500 0.000
Tm1 Tm 0.000 0.500 0.500
Pu1 Pu 0.500 0.000 0.500
N1 N 0.250 0.000 0.741
N2 N 0.255 0.500 0.260

***

# 4
# TbTmPu2N4 (GGA-PBE, optimized geometry)
# Total energy ... -10.3719 eV per atom
# Size of the total moment ... 9.6 μB/f.u.
data_TbTmPu2N4
_space_group_name_H-M_alt 'P 1 2/m 1'
_space_group_IT_number 10
_cell_length_a 5.974
_cell_length_b 3.473
_cell_length_c 6.019
_cell_angle_alpha 90.00
_cell_angle_beta 109.59
_cell_angle_gamma 90.00
loop_
_space_group_symop_operation_xyz
'x,y,z'
'-x,-y,-z'
'-x,y,-z'
'x,-y,z'
loop_
_atom_site_label
_atom_site_type_symbol
_atom_site_fract_x
_atom_site_fract_y
_atom_site_fract_z
Tb1 Tb 0.000 0.000 0.000
Tm1 Tm 0.000 0.500 0.500
Pu1 Pu 0.500 0.000 0.500
Pu2 Pu 0.500 0.500 0.000
N1 N 0.254 0.000 0.747
N2 N 0.257 0.500 0.257

***

# 5
# TbPu2UN4 (GGA-PBE, optimized geometry)
# Total energy ... -11.1231 eV per atom
# Size of the total moment ... 11.3 μB/f.u.
data_TbPu2UN4
_space_group_name_H-M_alt 'P 1 2/m 1'
_space_group_IT_number 10
_cell_length_a 6.007
_cell_length_b 3.484
_cell_length_c 6.022
_cell_angle_alpha 90.00
_cell_angle_beta 109.31
_cell_angle_gamma 90.00
loop_
_space_group_symop_operation_xyz
'x,y,z'
'-x,-y,-z'
'-x,y,-z'
'x,-y,z'
loop_
_atom_site_label
_atom_site_type_symbol
_atom_site_fract_x
_atom_site_fract_y
_atom_site_fract_z
Tb1 Tb 0.000 0.000 0.000
Pu1 Pu 0.500 0.000 0.500
Pu2 Pu 0.500 0.500 0.000
U1 U 0.000 0.500 0.500
N1 N 0.235 0.000 0.734
N2 N 0.243 0.500 0.264

***

# 6
# Tb2PuUN4 (GGA-PBE, optimized geometry)
# Total energy ... -10.0099 eV per atom
# Size of the total moment ... 6.0 μB/f.u.
data_Tb2PuUN4
_space_group_name_H-M_alt 'P 1 2/m 1'
_space_group_IT_number 10
_cell_length_a 6.010
_cell_length_b 3.479
_cell_length_c 6.012
_cell_angle_alpha 90.00
_cell_angle_beta 109.34
_cell_angle_gamma 90.00
loop_
_space_group_symop_operation_xyz
'x,y,z'
'-x,-y,-z'
'-x,y,-z'
'x,-y,z'
loop_
_atom_site_label
_atom_site_type_symbol
_atom_site_fract_x
_atom_site_fract_y
_atom_site_fract_z
Tb1 Tb 0.000 0.000 0.000
Tb2 Tb 0.500 0.500 0.000
Pu1 Pu 0.000 0.500 0.500
U1 U 0.500 0.000 0.500
N1 N 0.258 0.000 0.735
N2 N 0.265 0.500 0.265

***

# 7
# Tb3Pu2UN6 (GGA-PBE, optimized geometry)
# Total energy ... -10.1356 eV per atom
# Size of the total moment ... 10.9 μB/f.u.
data_Tb3Pu2UN6
_space_group_name_H-M_alt 'C 1 2/m 1'
_space_group_IT_number 12
_cell_length_a 6.036
_cell_length_b 10.449
_cell_length_c 6.016
_cell_angle_alpha 90.00
_cell_angle_beta 109.55
_cell_angle_gamma 90.00
loop_
_space_group_symop_operation_xyz
'x,y,z'
'-x,-y,-z'
'-x,y,-z'
'x,-y,z'
'x+1/2,y+1/2,z'
'-x+1/2,-y+1/2,-z'
'-x+1/2,y+1/2,-z'
'x+1/2,-y+1/2,z'
loop_
_atom_site_label
_atom_site_type_symbol
_atom_site_fract_x
_atom_site_fract_y
_atom_site_fract_z
Tb1 Tb 0.000 0.000 0.000
Tb2 Tb 0.000 0.332 0.000
Pu1 Pu 0.000 0.166 0.500
U1 U 0.000 0.500 0.500
N1 N 0.238 0.341 0.737
N2 N 0.240 0.500 0.265

***

# 8
# TbPuU2N4 (GGA-PBE, optimized geometry)
# Total energy ... -10.7341 eV per atom
# Size of the total moment ... 7.6 μB/f.u.
data_TbPuU2N4
_space_group_name_H-M_alt 'I -4 m 2'
_space_group_IT_number 119
_space_group_name_Hall 'I -4 -2'
_cell_length_a 4.906
_cell_length_b 4.906
_cell_length_c 9.758
_cell_angle_alpha 90.00
_cell_angle_beta 90.00
_cell_angle_gamma 90.00
loop_
_atom_site_label
_atom_site_type_symbol
_atom_site_fract_x
_atom_site_fract_y
_atom_site_fract_z
Tb1 Tb 0.000 0.000 0.000
Pu1 Pu 0.000 0.500 0.750
U1 U 0.000 0.000 0.500
U2 U 0.000 0.500 0.250
N1 N 0.000 0.000 0.259
N2 N 0.000 0.500 0.009